Material: AcDyGeAu
Method: DFT, GGA-PBE
State: relaxed

Output
Calculated formation energy: -656 meV/atom

The structure in CIF format:
```
data_AcDyGeAu
_cell_length_a 7.535
_cell_length_b 7.535
_cell_length_c 7.535
_cell_angle_alpha 90.00
_cell_angle_beta 90.00
_cell_angle_gamma 90.00
_space_group_name_H-M_alt 'P 1'
_space_group_IT_number 1
loop_
_space_group_symop_operation_xyz
'x,y,z'
loop_
_atom_site_label
_atom_site_type_symbol
_atom_site_fract_x
_atom_site_fract_y
_atom_site_fract_z
Ac1 Ac 0.000 0.000 0.000
Ac2 Ac 0.000 0.500 0.500
Ac3 Ac 0.500 0.000 0.500
Ac4 Ac 0.500 0.500 0.000
Dy1 Dy 0.000 0.000 0.500
Dy2 Dy 0.000 0.500 0.000
Dy3 Dy 0.500 0.000 0.000
Dy4 Dy 0.500 0.500 0.500
Ge1 Ge 0.250 0.250 0.750
Ge2 Ge 0.250 0.750 0.250
Ge3 Ge 0.750 0.250 0.250
Ge4 Ge 0.750 0.750 0.750
Au1 Au 0.250 0.250 0.250
Au2 Au 0.250 0.750 0.750
Au3 Au 0.750 0.250 0.750
Au4 Au 0.750 0.750 0.250
```

Material: PmPuFeCo
Method: DFT, GGA-PBE
State: relaxed

Output
Calculated formation energy: 124 meV/atom

The structure in CIF format:
```
data_PmPuFeCo
_cell_length_a 6.771
_cell_length_b 6.771
_cell_length_c 6.771
_cell_angle_alpha 90.00
_cell_angle_beta 90.00
_cell_angle_gamma 90.00
_space_group_name_H-M_alt 'P 1'
_space_group_IT_number 1
loop_
_space_group_symop_operation_xyz
'x,y,z'
loop_
_atom_site_label
_atom_site_type_symbol
_atom_site_fract_x
_atom_site_fract_y
_atom_site_fract_z
Pm1 Pm 0.000 0.000 0.000
Pm2 Pm 0.000 0.500 0.500
Pm3 Pm 0.500 0.000 0.500
Pm4 Pm 0.500 0.500 0.000
Pu1 Pu 0.000 0.000 0.500
Pu2 Pu 0.000 0.500 0.000
Pu3 Pu 0.500 0.000 0.000
Pu4 Pu 0.500 0.500 0.500
Fe1 Fe 0.250 0.250 0.250
Fe2 Fe 0.250 0.750 0.750
Fe3 Fe 0.750 0.250 0.750
Fe4 Fe 0.750 0.750 0.250
Co1 Co 0.250 0.250 0.750
Co2 Co 0.250 0.750 0.250
Co3 Co 0.750 0.250 0.250
Co4 Co 0.750 0.750 0.750
```

Energy readings, ordered: -0.17668, -0.31380 hartree per atom
D(E_F) readings, ordered: 15.69, 26.34 states/eV per cell